1.
## CrSiB3 (PBE)

Data for a geometry-optimized CrSiB3 structure.

**Calculated total energy**: -5.76 eV per atom
**N(E_F)**: 2.2 states/eV/cell

Lattice parameters (Å, degrees): 3.904 3.904 3.904 90.00 90.00 90.00
Fractional positions:
1 Cr 0.000 0.000 0.000
2 Si 0.500 0.500 0.500
3 B 0.000 0.000 0.500
4 B 0.000 0.500 0.000
5 B 0.500 0.000 0.000

---

2.
## CrSiB (PBE)

Data for a geometry-optimized CrSiB structure.

**Calculated total energy**: -7.40 eV per atom
**N(E_F)**: 3.8 states/eV/cell

Lattice parameters (Å, degrees): 4.168 3.088 5.180 90.00 112.70 90.00
Fractional positions:
1 Cr 0.207 0.250 0.406
2 Cr 0.793 0.750 0.594
3 Si 0.198 0.250 0.922
4 Si 0.802 0.750 0.078
5 B 0.359 0.750 0.717
6 B 0.641 0.250 0.283

---

3.
## Cr2SiB (PBE)

Data for a geometry-optimized Cr2SiB structure.

**Calculated total energy**: -8.03 eV per atom
**N(E_F)**: 7.6 states/eV/cell

Lattice parameters (Å, degrees): 4.548 3.018 6.416 90.00 108.91 90.00
Fractional positions:
1 Cr 0.174 0.250 0.393
2 Cr 0.253 0.750 0.043
3 Cr 0.747 0.250 0.957
4 Cr 0.826 0.750 0.607
5 Si 0.377 0.750 0.705
6 Si 0.623 0.250 0.295
7 B 0.118 0.250 0.796
8 B 0.882 0.750 0.204

---

4.
## CrSiB3 (PBE)

Data for a geometry-optimized CrSiB3 structure.

**Calculated total energy**: -5.19 eV per atom
**N(E_F)**: 7.0 states/eV/cell

Lattice parameters (Å, degrees): 3.846 3.846 3.846 90.00 90.00 90.00
Fractional positions:
1 Cr 0.000 0.000 0.000
2 Si 0.500 0.500 0.500
3 B 0.000 0.500 0.500
4 B 0.500 0.000 0.500
5 B 0.500 0.500 0.000

---

5.
## CrSi3B (PBE)

Data for a geometry-optimized CrSi3B structure.

**Calculated total energy**: -5.34 eV per atom
**N(E_F)**: 5.4 states/eV/cell

Lattice parameters (Å, degrees): 4.431 4.431 4.431 90.00 90.00 90.00
Fractional positions:
1 Cr 0.000 0.000 0.000
2 Si 0.000 0.000 0.500
3 Si 0.000 0.500 0.000
4 Si 0.500 0.000 0.000
5 B 0.500 0.500 0.500

---

6.
## Cr3SiB (PBE)

Data for a geometry-optimized Cr3SiB structure.

**Calculated total energy**: -8.05 eV per atom
**N(E_F)**: 3.9 states/eV/cell

Lattice parameters (Å, degrees): 3.860 3.860 3.860 90.00 90.00 90.00
Fractional positions:
1 Cr 0.000 0.000 0.500
2 Cr 0.000 0.500 0.000
3 Cr 0.500 0.000 0.000
4 Si 0.500 0.500 0.500
5 B 0.000 0.000 0.000

---

7.
## CrSi3B (PBE)

Data for a geometry-optimized CrSi3B structure.

**Calculated total energy**: -5.50 eV per atom
**N(E_F)**: 5.0 states/eV/cell

Lattice parameters (Å, degrees): 4.038 4.038 4.038 90.00 90.00 90.00
Fractional positions:
1 Cr 0.000 0.000 0.000
2 Si 0.000 0.500 0.500
3 Si 0.500 0.000 0.500
4 Si 0.500 0.500 0.000
5 B 0.500 0.500 0.500

---

8.
## Cr5Si3B (PBE)

Data for a geometry-optimized Cr5Si3B structure.

**Calculated total energy**: -8.24 eV per atom
**N(E_F)**: 17.3 states/eV/cell

Lattice parameters (Å, degrees): 7.003 7.003 4.703 90.00 90.00 120.00
Fractional positions:
1 Cr 0.000 0.246 0.250
2 Cr 0.000 0.754 0.750
3 Cr 0.246 0.000 0.250
4 Cr 0.246 0.246 0.750
5 Cr 0.333 0.667 0.000
6 Cr 0.333 0.667 0.500
7 Cr 0.667 0.333 0.000
8 Cr 0.667 0.333 0.500
9 Cr 0.754 0.000 0.750
10 Cr 0.754 0.754 0.250
11 Si 0.000 0.401 0.750
12 Si 0.000 0.599 0.250
13 Si 0.401 0.000 0.750
14 Si 0.401 0.401 0.250
15 Si 0.599 0.000 0.250
16 Si 0.599 0.599 0.750
17 B 0.000 0.000 0.000
18 B 0.000 0.000 0.500

---

9.
## CrSiBTe2 (PBE)

Data for a geometry-optimized CrSiBTe2 structure.

**Calculated total energy**: -4.75 eV per atom
**N(E_F)**: 3.5 states/eV/cell

Lattice parameters (Å, degrees): 4.978 4.978 4.083 90.00 90.00 90.00
Fractional positions:
1 Cr 0.000 0.000 0.000
2 Si 0.500 0.500 0.000
3 B 0.000 0.000 0.500
4 Te 0.000 0.500 0.500
5 Te 0.500 0.000 0.500

---

10.
## VCrSiB2 (PBE)

Data for a geometry-optimized VCrSiB2 structure.

**Calculated total energy**: -6.03 eV per atom
**N(E_F)**: 4.4 states/eV/cell

Lattice parameters (Å, degrees): 4.029 4.029 4.358 90.00 90.00 90.00
Fractional positions:
1 V 0.000 0.000 0.000
2 Cr 0.000 0.000 0.500
3 Si 0.500 0.500 0.500
4 B 0.000 0.500 0.000
5 B 0.500 0.000 0.000

---

11.
## SmCrB2 (PBE)

Data for a geometry-optimized SmCrB2 structure.

**Calculated total energy**: -6.86 eV per atom
**N(E_F)**: 2.7 states/eV/cell
**E_form**: 0.24 eV/f.u.

Lattice parameters (Å, degrees): 5.306 5.306 5.306 39.53 39.53 39.53
Fractional positions:
1 Sm 0.000 0.000 0.000
2 Cr 0.500 0.500 0.500
3 B 0.203 0.203 0.203
4 B 0.797 0.797 0.797

---

12.
## CrSnB3 (PBE)

Data for a geometry-optimized CrSnB3 structure.

**Calculated total energy**: -5.68 eV per atom
**N(E_F)**: 2.3 states/eV/cell
**E_form**: 5.26 eV/f.u.

Lattice parameters (Å, degrees): 4.041 4.041 4.041 90.00 90.00 90.00
Fractional positions:
1 Cr 0.000 0.000 0.000
2 Sn 0.500 0.500 0.500
3 B 0.000 0.000 0.500
4 B 0.000 0.500 0.000
5 B 0.500 0.000 0.000

---

13.
## CrSnB2 (PBE)

Data for a geometry-optimized CrSnB2 structure.

**Calculated total energy**: -5.41 eV per atom
**N(E_F)**: 3.2 states/eV/cell
**E_form**: 5.33 eV/f.u.

Lattice parameters (Å, degrees): 4.028 4.028 4.028 60.00 60.00 60.00
Fractional positions:
1 Cr 0.000 0.000 0.000
2 Sn 0.500 0.500 0.500
3 B 0.250 0.250 0.250
4 B 0.750 0.750 0.750

---

14.
## Cr2SnB (PBE)

Data for a geometry-optimized Cr2SnB structure.

**Calculated total energy**: -6.58 eV per atom
**N(E_F)**: 4.7 states/eV/cell
**E_form**: 3.62 eV/f.u.

Lattice parameters (Å, degrees): 4.160 4.160 4.160 60.00 60.00 60.00
Fractional positions:
1 Cr 0.250 0.250 0.250
2 Cr 0.750 0.750 0.750
3 Sn 0.000 0.000 0.000
4 B 0.500 0.500 0.500

---

15.
## CrSnB2 (PBE)

Data for a geometry-optimized CrSnB2 structure.

**Calculated total energy**: -5.81 eV per atom
**N(E_F)**: 1.6 states/eV/cell
**E_form**: 3.75 eV/f.u.

Lattice parameters (Å, degrees): 6.104 6.104 6.104 132.51 132.51 69.42
Fractional positions:
1 Cr 0.000 0.000 0.000
2 Cr 0.750 0.250 0.500
3 Sn 0.250 0.750 0.500
4 Sn 0.500 0.500 0.000
5 B 0.067 0.625 0.942
6 B 0.375 0.317 0.442
7 B 0.683 0.125 0.058
8 B 0.875 0.933 0.558

---

16.
## Cr2SnB (PBE)

Data for a geometry-optimized Cr2SnB structure.

**Calculated total energy**: -6.71 eV per atom
**N(E_F)**: 5.5 states/eV/cell
**E_form**: 3.08 eV/f.u.

Lattice parameters (Å, degrees): 8.660 8.660 8.660 155.23 155.23 35.31
Fractional positions:
1 Cr 0.017 0.625 0.892
2 Cr 0.375 0.267 0.392
3 Cr 0.733 0.125 0.108
4 Cr 0.875 0.983 0.608
5 Sn 0.250 0.750 0.500
6 Sn 0.500 0.500 0.000
7 B 0.000 0.000 0.000
8 B 0.750 0.250 0.500

---

17.
## Sr2CrSnB (PBE)

Data for a geometry-optimized Sr2CrSnB structure.

**Calculated total energy**: -3.77 eV per atom
**N(E_F)**: 6.4 states/eV/cell
**E_form**: 4.80 eV/f.u.

Lattice parameters (Å, degrees): 5.610 5.610 4.378 90.00 90.00 90.00
Fractional positions:
1 Sr 0.000 0.500 0.000
2 Sr 0.500 0.000 0.000
3 Cr 0.000 0.000 0.500
4 Sn 0.500 0.500 0.500
5 B 0.500 0.500 0.000

---

18.
## Tl2CrSnB (PBE)

Data for a geometry-optimized Tl2CrSnB structure.

**Calculated total energy**: -4.10 eV per atom
**N(E_F)**: 5.9 states/eV/cell
**E_form**: 4.55 eV/f.u.

Lattice parameters (Å, degrees): 5.039 5.039 4.146 90.00 90.00 90.00
Fractional positions:
1 Tl 0.000 0.500 0.000
2 Tl 0.500 0.000 0.000
3 Cr 0.000 0.000 0.500
4 Sn 0.500 0.500 0.500
5 B 0.000 0.000 0.000

---

19.
## Cr2SnBW (PBE)

Data for a geometry-optimized Cr2SnBW structure.

**Calculated total energy**: -7.21 eV per atom
**N(E_F)**: 3.9 states/eV/cell
**E_form**: 6.81 eV/f.u.

Lattice parameters (Å, degrees): 4.740 4.740 4.275 90.00 90.00 90.00
Fractional positions:
1 Cr 0.000 0.500 0.000
2 Cr 0.500 0.000 0.000
3 Sn 0.000 0.000 0.500
4 B 0.500 0.500 0.500
5 W 0.500 0.500 0.000

---

20.
## SrCr2B4 (PBE)

Data for a geometry-optimized SrCr2B4 structure.

**Calculated total energy**: -4.60 eV per atom
**N(E_F)**: 8.8 states/eV/cell
**E_form**: 15.46 eV/f.u.

Lattice parameters (Å, degrees): 6.692 6.692 6.692 140.90 140.90 56.49
Fractional positions:
1 Sr 0.000 0.000 0.000
2 Cr 0.402 0.402 0.000
3 Cr 0.598 0.598 0.000
4 B 0.000 0.500 0.500
5 B 0.234 0.234 0.000
6 B 0.500 0.000 0.500
7 B 0.766 0.766 0.000